No. 1
Compound: TmAl2Ir
Source: the Alexandria database
Functional: PBE
Structure: optimized geometry

```
TmAl2Ir
1.0
15.0423 0.0000 0.0000
0.0000 7.1501 0.0000
0.0000 0.0000 5.5201
Tm Al Ir
8 16 8
Direct
0.1006 0.2500 0.2389
0.1384 0.7500 0.4611
0.3616 0.2500 0.9611
0.3995 0.7500 0.7389
0.6006 0.2500 0.2611
0.6384 0.7500 0.0389
0.8616 0.2500 0.5389
0.8994 0.7500 0.7611
0.0411 0.0577 0.7516
0.0411 0.4423 0.7516
0.2113 0.5516 0.9426
0.2113 0.9484 0.9426
0.2887 0.0516 0.4426
0.2887 0.4484 0.4426
0.4589 0.5577 0.2516
0.4589 0.9423 0.2516
0.5411 0.0577 0.7484
0.5411 0.4423 0.7484
0.7113 0.5516 0.5574
0.7113 0.9484 0.5574
0.7887 0.0516 0.0574
0.7887 0.4484 0.0574
0.9589 0.5577 0.2484
0.9589 0.9423 0.2484
0.0706 0.7500 0.9857
0.1880 0.2500 0.7109
0.3120 0.7500 0.2109
0.4294 0.2500 0.4857
0.5706 0.7500 0.5143
0.6880 0.2500 0.7891
0.8120 0.7500 0.2891
0.9294 0.2500 0.0143
```

Values from the calculation:
Formation energy: -0.86 eV per atom
D(E_F): 15.1 states/eV per cell
Total DFT energy (no corrections): -0.4455 Ry/atom
Magnetic moment: 0.00 μB/f.u.

***

No. 2
Compound: Li2La2As
Source: the Alexandria database
Functional: PBE
Structure: optimized geometry

```
Li2La2As
1.0
6.8471 0.0000 0.0000
0.0000 6.8471 0.0000
0.0000 0.0000 4.9196
Li La As
4 4 2
Direct
0.1418 0.3582 0.0000
0.3582 0.8582 0.0000
0.6418 0.1418 0.0000
0.8582 0.6418 0.0000
0.1727 0.6727 0.5000
0.3273 0.1727 0.5000
0.6727 0.8273 0.5000
0.8273 0.3273 0.5000
0.0000 0.0000 0.0000
0.5000 0.5000 0.0000
```

Values from the calculation:
Formation energy: -0.41 eV per atom
D(E_F): 6.6 states/eV per cell
Total DFT energy (no corrections): -0.2999 Ry/atom
Magnetic moment: 0.00 μB/f.u.

***

No. 3
Compound: Pr3GeNCl
Source: the Alexandria database
Functional: PBE
Structure: optimized geometry

```
Pr3GeNCl
1.0
7.7064 0.0000 0.0000
0.0000 3.7024 0.0000
-3.0680 0.0000 10.4703
Pr Ge N Cl
6 2 2 2
Direct
0.1504 0.2500 0.1349
0.2916 0.7500 0.5094
0.2947 0.7500 0.8671
0.7053 0.2500 0.1329
0.7084 0.2500 0.4906
0.8496 0.7500 0.8651
0.4764 0.7500 0.2819
0.5236 0.2500 0.7181
0.1119 0.2500 0.9113
0.8881 0.7500 0.0887
0.0110 0.2500 0.3663
0.9890 0.7500 0.6337
```

Values from the calculation:
Energy relative to the elements, uncorrected: -1.167 eV per atom
D(E_F): 8.6 states/eV per cell
Total DFT energy (no corrections): -0.4426 Ry/atom
Magnetic moment: 0.00 μB/f.u.

***

No. 4
Compound: IrNO2
Source: the Alexandria database
Functional: PBE
Structure: optimized geometry

```
IrNO2
1.0
-1.7598 1.7598 6.5051
1.7598 -1.7598 6.5051
1.7598 1.7598 -6.5051
Ir N O
2 2 4
Direct
0.0000 0.0000 0.0000
0.7500 0.2500 0.5000
0.2500 0.7500 0.5000
0.5000 0.5000 0.0000
0.0934 0.6250 0.9684
0.3750 0.3434 0.4684
0.6566 0.1250 0.0316
0.8750 0.9066 0.5316
```

Values from the calculation:
Energy relative to the elements, uncorrected: 1.313 eV per atom
D(E_F): 4.7 states/eV per cell
Total DFT energy (no corrections): -0.4015 Ry/atom
Magnetic moment: 0.00 μB/f.u.

***

No. 5
Compound: KPaTe4Pd2
Source: the Alexandria database
Functional: PBE
Structure: optimized geometry

```
KPaTe4Pd2
1.0
-3.4294 3.9676 4.2112
3.4294 -3.9676 4.2112
3.4294 3.9676 -4.2112
K Pa Te Pd
1 1 4 2
Direct
0.0000 0.0000 0.0000
0.5000 0.5000 0.0000
0.0448 0.0622 0.5430
0.4808 0.9378 0.9826
0.5192 0.5018 0.4570
0.9552 0.4982 0.0174
0.3342 0.8342 0.5000
0.6658 0.1658 0.5000
```

Values from the calculation:
Energy relative to the elements, uncorrected: -0.467 eV per atom
D(E_F): 4.8 states/eV per cell
Total DFT energy (no corrections): -0.3425 Ry/atom
Magnetic moment: 0.00 μB/f.u.

***

No. 6
Compound: KPbCl2
Source: the Alexandria database
Functional: PBE
Structure: optimized geometry

```
KPbCl2
1.0
4.2834 -4.2565 0.0000
4.2834 4.2565 0.0000
-1.0045 0.0000 3.6008
K Pb Cl
1 1 2
Direct
0.0000 0.0000 0.0000
0.5000 0.5000 0.0000
0.0000 0.5000 0.0000
0.5000 0.0000 0.0000
```

Values from the calculation:
Energy relative to the lowest polymorph listed for this composition: 95 meV/atom
Energy relative to the elements, uncorrected: -1.154 eV per atom
D(E_F): 1.2 states/eV per cell
Total DFT energy (no corrections): -0.2410 Ry/atom
Magnetic moment: 0.00 μB/f.u.

***

No. 7
Compound: LaSmPtRh
Source: the Alexandria database
Functional: PBE
Structure: optimized geometry

```
LaSmPtRh
1.0
0.0000 3.5820 3.5820
3.5820 0.0000 3.5820
3.5820 3.5820 0.0000
La Sm Pt Rh
1 1 1 1
Direct
0.0000 0.0000 0.0000
0.5000 0.5000 0.5000
0.2500 0.2500 0.2500
0.7500 0.7500 0.7500
```

Values from the calculation:
Formation energy: -0.89 eV per atom
Energy relative to the lowest polymorph listed for this composition: 90 meV/atom
D(E_F): 2.5 states/eV per cell
Total DFT energy (no corrections): -0.4887 Ry/atom
Magnetic moment: 0.00 μB/f.u.

***

No. 8
Compound: SbOsBr2
Source: the Alexandria database
Functional: PBE
Structure: optimized geometry

```
SbOsBr2
1.0
-4.6125 4.6125 2.5546
4.6125 -4.6125 2.5546
4.6125 4.6125 -2.5546
Sb Os Br
2 2 4
Direct
0.0000 0.0000 0.0000
0.7500 0.2500 0.5000
0.2500 0.7500 0.5000
0.5000 0.5000 0.0000
0.2594 0.6250 0.1344
0.3750 0.5094 0.6344
0.4906 0.1250 0.8656
0.8750 0.7406 0.3656
```

Values from the calculation:
Energy relative to the lowest polymorph listed for this composition: 202 meV/atom
Energy relative to the elements, uncorrected: 0.481 eV per atom
D(E_F): 4.9 states/eV per cell
Total DFT energy (no corrections): -0.3082 Ry/atom
Magnetic moment: 0.00 μB/f.u.

***

No. 9
Compound: NaHg2Rh
Source: the Alexandria database
Functional: PBE
Structure: optimized geometry

```
NaHg2Rh
1.0
0.0000 3.3832 3.3832
3.3832 0.0000 3.3832
3.3832 3.3832 0.0000
Na Hg Rh
1 2 1
Direct
0.0000 0.0000 0.0000
0.2500 0.2500 0.2500
0.7500 0.7500 0.7500
0.5000 0.5000 0.5000
```

Values from the calculation:
Formation energy: 0.01 eV per atom
Energy relative to the lowest polymorph listed for this composition: 11 meV/atom
D(E_F): 1.8 states/eV per cell
Total DFT energy (no corrections): -0.1696 Ry/atom
Magnetic moment: 0.00 μB/f.u.

***

No. 10
Compound: ZrTe2RuN
Source: the Alexandria database
Functional: PBE
Structure: optimized geometry

```
ZrTe2RuN
1.0
5.7078 0.0000 0.0000
0.0000 5.7078 0.0000
0.0000 0.0000 3.9327
Zr Te Ru N
1 2 1 1
Direct
0.0000 0.0000 0.0000
0.0000 0.5000 0.0000
0.5000 0.0000 0.0000
0.5000 0.5000 0.5000
0.0000 0.0000 0.5000
```

Values from the calculation:
Energy relative to the lowest polymorph listed for this composition: 559 meV/atom
Energy relative to the elements, uncorrected: 0.712 eV per atom
D(E_F): 7.4 states/eV per cell
Total DFT energy (no corrections): -0.4244 Ry/atom
Magnetic moment: 2.14 μB/f.u.

***

No. 11
Compound: BaSr3Pd
Source: the Alexandria database
Functional: PBE
Structure: optimized geometry

```
BaSr3Pd
1.0
6.5103 0.0000 0.0000
0.0000 6.5103 0.0000
0.0000 0.0000 6.5103
Ba Sr Pd
1 3 1
Direct
0.0000 0.0000 0.0000
0.0000 0.0000 0.5000
0.0000 0.5000 0.0000
0.5000 0.0000 0.0000
0.5000 0.5000 0.5000
```

Values from the calculation:
Formation energy: 1.12 eV per atom
Energy relative to the lowest polymorph listed for this composition: 1421 meV/atom
D(E_F): 2.7 states/eV per cell
Total DFT energy (no corrections): -0.0963 Ry/atom
Magnetic moment: 4.10 μB/f.u.

***

No. 12
Compound: Li4H5Rh
Source: the Alexandria database
Functional: PBE
Structure: optimized geometry

```
Li4H5Rh
1.0
-3.1502 3.1502 1.9788
3.1502 -3.1502 1.9788
3.1502 3.1502 -1.9788
Li H Rh
4 5 1
Direct
0.1070 0.2914 0.3984
0.2914 0.8930 0.1844
0.7086 0.1070 0.8156
0.8930 0.7086 0.6016
0.0000 0.0000 0.0000
0.2314 0.5746 0.8060
0.4254 0.2314 0.6568
0.5746 0.7686 0.3432
0.7686 0.4254 0.1940
0.5000 0.5000 0.0000
```

Values from the calculation:
Energy relative to the lowest polymorph listed for this composition: 0 meV/atom
D(E_F): 2.1 states/eV per cell
Total DFT energy (no corrections): -0.2644 Ry/atom
Magnetic moment: 0.00 μB/f.u.